# 1
This record from the Alexandria database describes a geometry-optimized NiMoRu structure. The functional is PBE-GGA.

Structure (extended XYZ):
```
3
Lattice="-0.6794 -3.5712 -1.8898 2.4453 -3.2043 0.7348 -1.4086 -3.2070 2.1255" Properties=species:S:1:pos:R:3 pbc="T T T"
Ru 0.1786 -4.9912 0.4852
Mo 0.2679 -7.4869 0.7279
Ni 0.0000 0.0000 0.0000
```

Summary:
Distance to the lowest polymorph of the same formula, eV/atom: 0.596
DFT total energy, eV per atom: -8.089
Energy of formation, eV per atom: 0.541
Space group: No. 216


# 2
This record from the Alexandria database describes a geometry-optimized NiMoRu2 structure. The functional is PBE-GGA.

Structure (extended XYZ):
```
4
Lattice="4.3779 0.0000 0.0000 0.0000 2.6495 -0.0151 0.0000 0.3855 4.7978" Properties=species:S:1:pos:R:3 pbc="T T T"
Ru 0.0000 2.9658 4.6874
Ru 0.0000 1.5867 2.4866
Ni 2.1890 2.2762 3.5870
Mo 2.1890 0.7587 1.1957
```

Summary:
Distance to the lowest polymorph of the same formula, eV/atom: 0.214
DFT total energy, eV per atom: -8.592
Energy of formation, eV per atom: 0.200
Space group: No. 10


# 3
This record from the Alexandria database describes a geometry-optimized NiMoRu2 structure. The functional is PBE-GGA.

Structure (extended XYZ):
```
4
Lattice="2.7250 0.0000 0.0000 0.0000 3.7136 0.0000 0.0000 0.0000 5.4475" Properties=species:S:1:pos:R:3 pbc="T T T"
Mo 1.3625 1.8568 1.3619
Ru 0.0000 0.0000 5.3718
Ru 0.0000 0.0000 2.7995
Ni 1.3625 1.8568 4.0856
```

Summary:
Distance to the lowest polymorph of the same formula, eV/atom: 0.093
DFT total energy, eV per atom: -8.712
Energy of formation, eV per atom: 0.079
Space group: No. 47